12
Lattice="6.610 -0.119 -1.251 -3.585 5.555 -1.251 0.124 0.222 6.721" Properties=species:S:1:pos:R:3 comment="Tm5ThS6 | the Alexandria database | GGA-PBE | optimized geometry" magmom_total_mub_per_fu=0.0 energy_ev_per_atom=-6.442 spacegroup="No. 12" volume_a3_per_cell=247.61 n_ef_per_ev_fu=4.213 pbc="T T T"
S 2.570 0.480 1.084
S 4.095 3.221 3.134
S 0.876 1.575 4.358
S 2.272 4.083 -0.139
S -0.947 2.437 1.084
S 0.579 5.178 3.134
Tm 5.008 0.918 2.109
Tm 3.208 1.775 -1.251
Tm 1.574 2.829 2.109
Tm -0.183 3.661 -1.251
Tm -1.859 4.740 2.109
Th 0.000 0.000 0.000